Computed, not measured: an optimized crystal structure of Li2NiSb at the PBE-GGA level of DFT.

## Properties
Final energy = -3.604 eV per atom
D(E_F) = 2.10 states/eV per cell
Density = 4.90 g/cm³

Cell: 3.3142 3.3142 5.9968 Å, 90.00 90.00 90.00°
Closest atoms and distances in Å follow each position.
Sites, in units of the cell vectors:
Li  0.0000  0.0000  0.0067  4 Li 2.81, 4 Sb 2.92, 2 Ni 2.96-3.03
Li  0.5000  0.5000  0.2643  1 Sb 2.71, 4 Ni 2.78, 4 Li 2.81
Ni  0.0000  0.0000  0.5127  4 Sb 2.64, 4 Li 2.78
Sb  0.5000  0.5000  0.7164  4 Ni 2.64, 5 Li 2.71-2.92